i:
Density functional theory data (GGA-PBE) for a geometry-optimized LiAgBRh2 structure.

a b c (Å): 4.085 4.085 4.343
angles (deg): 90.00 90.00 90.00
Positions (direct):
Li 0.000 0.000 0.000
Ag 0.500 0.500 0.000
B 0.500 0.500 0.500
Rh 0.000 0.500 0.500
Rh 0.500 0.000 0.500

Computed properties:
Symmetry = P4/mmm, No. 123
Fermi-level density of states = 1.2293 states/eV/atom



ii:
Density functional theory data (GGA-PBE) for a geometry-optimized LiAgBRh2 structure.

a b c (Å): 4.052 4.052 4.255
angles (deg): 90.00 90.00 90.00
Positions (direct):
Li 0.000 0.000 0.000
Ag 0.500 0.500 0.000
B 0.000 0.000 0.500
Rh 0.000 0.500 0.500
Rh 0.500 0.000 0.500

Computed properties:
Symmetry = P4/mmm, No. 123
Fermi-level density of states = 0.8991 states/eV/atom



ii comes first in stability; the runner-up is 1.2 kJ/mol of atoms higher.



i:
Density functional theory data (GGA-PBE) for a geometry-optimized MgAgB3 structure.

a b c (Å): 4.240 4.240 4.240
angles (deg): 90.00 90.00 90.00
Positions (direct):
Mg 0.000 0.000 0.000
Ag 0.500 0.500 0.500
B 0.000 0.500 0.500
B 0.500 0.000 0.500
B 0.500 0.500 0.000

Computed properties:
Symmetry = Pm-3m, No. 221
Fermi-level density of states = 0.6637 states/eV/atom



ii:
Density functional theory data (GGA-PBE) for a geometry-optimized MgAgB3 structure.

a b c (Å): 4.329 4.329 4.329
angles (deg): 90.00 90.00 90.00
Positions (direct):
Mg 0.000 0.000 0.000
Ag 0.500 0.500 0.500
B 0.000 0.000 0.500
B 0.000 0.500 0.000
B 0.500 0.000 0.000

Computed properties:
Symmetry = Pm-3m, No. 221
Fermi-level density of states = 0.5533 states/eV/atom



i comes first in stability; the runner-up is 38.8 kJ/mol of atoms higher.



i:
Density functional theory data (GGA-PBE) for a geometry-optimized MgAg2B structure.

a b c (Å): 4.928 4.928 13.692
angles (deg): 90.00 90.00 90.00
Positions (direct):
Mg 0.000 0.000 0.000
Mg 0.000 0.500 0.250
Mg 0.500 0.000 0.750
Mg 0.500 0.500 0.500
Ag 0.116 0.250 0.625
Ag 0.250 0.616 0.875
Ag 0.250 0.884 0.375
Ag 0.384 0.250 0.125
Ag 0.616 0.750 0.125
Ag 0.750 0.116 0.375
Ag 0.750 0.384 0.875
Ag 0.884 0.750 0.625
B 0.000 0.000 0.500
B 0.000 0.500 0.750
B 0.500 0.000 0.250
B 0.500 0.500 0.000

Computed properties:
Symmetry = I-42d, No. 122
Fermi-level density of states = 0.4567 states/eV/atom



ii:
Density functional theory data (GGA-PBE) for a geometry-optimized MgAg2B structure.

a b c (Å): 6.207 6.207 6.207
angles (deg): 90.00 90.00 90.00
Positions (direct):
Mg 0.000 0.000 0.000
Mg 0.000 0.500 0.500
Mg 0.500 0.000 0.500
Mg 0.500 0.500 0.000
Ag 0.250 0.250 0.250
Ag 0.250 0.250 0.750
Ag 0.250 0.750 0.250
Ag 0.250 0.750 0.750
Ag 0.750 0.250 0.250
Ag 0.750 0.250 0.750
Ag 0.750 0.750 0.250
Ag 0.750 0.750 0.750
B 0.000 0.000 0.500
B 0.000 0.500 0.000
B 0.500 0.000 0.000
B 0.500 0.500 0.500

Computed properties:
Symmetry = Fm-3m, No. 225
Fermi-level density of states = 0.2863 states/eV/atom



ii comes first in stability; the runner-up is 18.4 kJ/mol of atoms higher.



i:
Density functional theory data (GGA-PBE) for a geometry-optimized Mg2AgB2 structure.

a b c (Å): 2.884 2.884 16.495
angles (deg): 90.00 90.00 90.00
Positions (direct):
Mg 0.000 0.000 0.129
Mg 0.000 0.000 0.871
Mg 0.500 0.500 0.371
Mg 0.500 0.500 0.629
Ag 0.000 0.000 0.500
Ag 0.500 0.500 0.000
B 0.000 0.500 0.250
B 0.000 0.500 0.750
B 0.500 0.000 0.250
B 0.500 0.000 0.750

Computed properties:
Symmetry = I4/mmm, No. 139
Fermi-level density of states = 0.3646 states/eV/atom



ii:
Density functional theory data (GGA-PBE) for a geometry-optimized Mg2AgB2 structure.

a b c (Å): 7.114 7.114 2.807
angles (deg): 90.00 90.00 90.00
Positions (direct):
Mg 0.136 0.364 0.000
Mg 0.364 0.864 0.000
Mg 0.636 0.136 0.000
Mg 0.864 0.636 0.000
Ag 0.000 0.000 0.000
Ag 0.500 0.500 0.000
B 0.165 0.665 0.500
B 0.335 0.165 0.500
B 0.665 0.835 0.500
B 0.835 0.335 0.500

Computed properties:
Symmetry = P4/mbm, No. 127
Fermi-level density of states = 0.4339 states/eV/atom



i comes first in stability; the runner-up is 37.4 kJ/mol of atoms higher.



i:
Density functional theory data (GGA-PBE) for a geometry-optimized MnAg3B structure.

a b c (Å): 4.354 4.354 4.354
angles (deg): 90.00 90.00 90.00
Positions (direct):
Mn 0.000 0.000 0.000
Ag 0.000 0.500 0.500
Ag 0.500 0.000 0.500
Ag 0.500 0.500 0.000
B 0.500 0.500 0.500

Computed properties:
Symmetry = Pm-3m, No. 221
Fermi-level density of states = 0.4433 states/eV/atom



ii:
Density functional theory data (GGA-PBE) for a geometry-optimized MnAg3B structure.

a b c (Å): 4.958 4.958 4.958
angles (deg): 90.00 90.00 90.00
Positions (direct):
Mn 0.000 0.000 0.000
Ag 0.000 0.000 0.500
Ag 0.000 0.500 0.000
Ag 0.500 0.000 0.000
B 0.500 0.500 0.500

Computed properties:
Symmetry = Pm-3m, No. 221
Fermi-level density of states = 0.6450 states/eV/atom



i comes first in stability; the runner-up is 115.9 kJ/mol of atoms higher.



i:
Density functional theory data (GGA-PBE) for a geometry-optimized Mn2Ag2B structure.

a b c (Å): 5.957 5.957 4.377
angles (deg): 90.00 90.00 90.00
Positions (direct):
Mn 0.162 0.338 0.000
Mn 0.338 0.838 0.000
Mn 0.662 0.162 0.000
Mn 0.838 0.662 0.000
Ag 0.163 0.663 0.500
Ag 0.337 0.163 0.500
Ag 0.663 0.837 0.500
Ag 0.837 0.337 0.500
B 0.000 0.000 0.500
B 0.500 0.500 0.500

Computed properties:
Symmetry = P4/mbm, No. 127
Fermi-level density of states = 0.8003 states/eV/atom



ii:
Density functional theory data (GGA-PBE) for a geometry-optimized Mn2Ag2B structure.

a b c (Å): 3.076 3.076 14.742
angles (deg): 90.00 90.00 90.00
Positions (direct):
Mn 0.000 0.500 0.250
Mn 0.000 0.500 0.750
Mn 0.500 0.000 0.250
Mn 0.500 0.000 0.750
Ag 0.000 0.000 0.092
Ag 0.000 0.000 0.908
Ag 0.500 0.500 0.408
Ag 0.500 0.500 0.592
B 0.000 0.000 0.500
B 0.500 0.500 0.000

Computed properties:
Symmetry = I4/mmm, No. 139
Fermi-level density of states = 1.1159 states/eV/atom



i comes first in stability; the runner-up is 25.2 kJ/mol of atoms higher.



i:
Density functional theory data (GGA-PBE) for a geometry-optimized MnAgB3 structure.

a b c (Å): 4.064 4.064 4.064
angles (deg): 90.00 90.00 90.00
Positions (direct):
Mn 0.000 0.000 0.000
Ag 0.500 0.500 0.500
B 0.000 0.500 0.500
B 0.500 0.000 0.500
B 0.500 0.500 0.000

Computed properties:
Symmetry = Pm-3m, No. 221
Fermi-level density of states = 1.3817 states/eV/atom



ii:
Density functional theory data (GGA-PBE) for a geometry-optimized MnAgB3 structure.

a b c (Å): 3.854 3.854 3.854
angles (deg): 90.00 90.00 90.00
Positions (direct):
Mn 0.000 0.000 0.000
Ag 0.500 0.500 0.500
B 0.000 0.000 0.500
B 0.000 0.500 0.000
B 0.500 0.000 0.000

Computed properties:
Symmetry = Pm-3m, No. 221
Fermi-level density of states = 0.4677 states/eV/atom



ii comes first in stability; the runner-up is 151.4 kJ/mol of atoms higher.



i:
Density functional theory data (GGA-PBE) for a geometry-optimized AgB2Mo structure.

a b c (Å): 5.886 5.886 5.774
angles (deg): 90.00 90.00 90.00
Positions (direct):
Ag 0.000 0.000 0.000
Ag 0.000 0.500 0.250
Ag 0.500 0.000 0.750
Ag 0.500 0.500 0.500
B 0.238 0.750 0.625
B 0.250 0.238 0.375
B 0.250 0.262 0.875
B 0.262 0.750 0.125
B 0.738 0.250 0.125
B 0.750 0.738 0.875
B 0.750 0.762 0.375
B 0.762 0.250 0.625
Mo 0.000 0.000 0.500
Mo 0.000 0.500 0.750
Mo 0.500 0.000 0.250
Mo 0.500 0.500 0.000

Computed properties:
Symmetry = I-42d, No. 122
Fermi-level density of states = 0.4238 states/eV/atom



ii:
Density functional theory data (GGA-PBE) for a geometry-optimized AgB2Mo structure.

a b c (Å): 5.640 5.640 5.640
angles (deg): 90.00 90.00 90.00
Positions (direct):
Ag 0.000 0.000 0.000
Ag 0.000 0.500 0.500
Ag 0.500 0.000 0.500
Ag 0.500 0.500 0.000
B 0.250 0.250 0.250
B 0.250 0.250 0.750
B 0.250 0.750 0.250
B 0.250 0.750 0.750
B 0.750 0.250 0.250
B 0.750 0.250 0.750
B 0.750 0.750 0.250
B 0.750 0.750 0.750
Mo 0.000 0.000 0.500
Mo 0.000 0.500 0.000
Mo 0.500 0.000 0.000
Mo 0.500 0.500 0.500

Computed properties:
Symmetry = Fm-3m, No. 225
Fermi-level density of states = 0.4766 states/eV/atom



i comes first in stability; the runner-up is 6.6 kJ/mol of atoms higher.



i:
Density functional theory data (GGA-PBE) for a geometry-optimized AgBMo3 structure.

a b c (Å): 4.217 4.217 4.217
angles (deg): 90.00 90.00 90.00
Positions (direct):
Ag 0.000 0.000 0.000
B 0.500 0.500 0.500
Mo 0.000 0.500 0.500
Mo 0.500 0.000 0.500
Mo 0.500 0.500 0.000

Computed properties:
Symmetry = Pm-3m, No. 221
Fermi-level density of states = 0.6855 states/eV/atom



ii:
Density functional theory data (GGA-PBE) for a geometry-optimized AgBMo3 structure.

a b c (Å): 4.762 4.762 4.762
angles (deg): 90.00 90.00 90.00
Positions (direct):
Ag 0.000 0.000 0.000
B 0.500 0.500 0.500
Mo 0.000 0.000 0.500
Mo 0.000 0.500 0.000
Mo 0.500 0.000 0.000

Computed properties:
Symmetry = Pm-3m, No. 221
Fermi-level density of states = 1.7887 states/eV/atom



i comes first in stability; the runner-up is 281.3 kJ/mol of atoms higher.



i:
Density functional theory data (GGA-PBE) for a geometry-optimized Ag2B2Mo structure.

a b c (Å): 6.627 6.627 2.876
angles (deg): 90.00 90.00 90.00
Positions (direct):
Ag 0.145 0.355 0.000
Ag 0.355 0.855 0.000
Ag 0.645 0.145 0.000
Ag 0.855 0.645 0.000
B 0.163 0.663 0.500
B 0.337 0.163 0.500
B 0.663 0.837 0.500
B 0.837 0.337 0.500
Mo 0.000 0.000 0.500
Mo 0.500 0.500 0.500

Computed properties:
Symmetry = P4/mbm, No. 127
Fermi-level density of states = 0.5624 states/eV/atom



ii:
Density functional theory data (GGA-PBE) for a geometry-optimized Ag2B2Mo structure.

a b c (Å): 3.598 3.598 9.760
angles (deg): 90.00 90.00 90.00
Positions (direct):
Ag 0.000 0.500 0.250
Ag 0.000 0.500 0.750
Ag 0.500 0.000 0.250
Ag 0.500 0.000 0.750
B 0.000 0.000 0.085
B 0.000 0.000 0.915
B 0.500 0.500 0.415
B 0.500 0.500 0.585
Mo 0.000 0.000 0.500
Mo 0.500 0.500 0.000

Computed properties:
Symmetry = I4/mmm, No. 139
Fermi-level density of states = 0.5715 states/eV/atom



ii comes first in stability; the runner-up is 18.8 kJ/mol of atoms higher.



i:
Density functional theory data (GGA-PBE) for a geometry-optimized Ag2BN structure.

a b c (Å): 4.328 4.328 12.568
angles (deg): 90.00 90.00 90.00
Positions (direct):
Ag 0.246 0.250 0.125
Ag 0.250 0.746 0.375
Ag 0.250 0.754 0.875
Ag 0.254 0.250 0.625
Ag 0.746 0.750 0.625
Ag 0.750 0.246 0.875
Ag 0.750 0.254 0.375
Ag 0.754 0.750 0.125
B 0.000 0.000 0.500
B 0.000 0.500 0.750
B 0.500 0.000 0.250
B 0.500 0.500 0.000
N 0.000 0.000 0.000
N 0.000 0.500 0.250
N 0.500 0.000 0.750
N 0.500 0.500 0.500

Computed properties:
Symmetry = I-42d, No. 122
Fermi-level density of states = 0.1168 states/eV/atom



ii:
Density functional theory data (GGA-PBE) for a geometry-optimized Ag2BN structure.

a b c (Å): 5.773 5.773 5.773
angles (deg): 90.00 90.00 90.00
Positions (direct):
Ag 0.250 0.250 0.250
Ag 0.250 0.250 0.750
Ag 0.250 0.750 0.250
Ag 0.250 0.750 0.750
Ag 0.750 0.250 0.250
Ag 0.750 0.250 0.750
Ag 0.750 0.750 0.250
Ag 0.750 0.750 0.750
B 0.000 0.000 0.000
B 0.000 0.500 0.500
B 0.500 0.000 0.500
B 0.500 0.500 0.000
N 0.000 0.000 0.500
N 0.000 0.500 0.000
N 0.500 0.000 0.000
N 0.500 0.500 0.500

Computed properties:
Symmetry = Fm-3m, No. 225
Fermi-level density of states = 0.0478 states/eV/atom



i comes first in stability; the runner-up is 1.7 kJ/mol of atoms higher.



i:
Density functional theory data (GGA-PBE) for a geometry-optimized AgBS2N structure.

a b c (Å): 4.932 4.932 4.031
angles (deg): 90.00 90.00 90.00
Positions (direct):
Ag 0.000 0.000 0.000
B 0.500 0.500 0.500
S 0.000 0.500 0.000
S 0.500 0.000 0.000
N 0.000 0.000 0.500

Computed properties:
Symmetry = P4/mmm, No. 123
Fermi-level density of states = 0.9323 states/eV/atom



ii:
Density functional theory data (GGA-PBE) for a geometry-optimized AgBS2N structure.

a b c (Å): 5.302 5.302 2.669
angles (deg): 90.00 90.00 90.00
Positions (direct):
Ag 0.000 0.000 0.000
B 0.500 0.500 0.500
S 0.000 0.500 0.500
S 0.500 0.000 0.500
N 0.500 0.500 0.000

Computed properties:
Symmetry = P4/mmm, No. 123
Fermi-level density of states = 0.7601 states/eV/atom



ii comes first in stability; the runner-up is 169.8 kJ/mol of atoms higher.